Record 1
6
Lattice="0.000 4.680 4.680 4.680 0.000 4.680 4.680 4.680 0.000" Properties=species:S:1:pos:R:3 comment="SmLuTh4 (PBE, optimized geometry)" dos_ef_per_ev_cell=10.7 ef_ev_per_atom=0.282 m_tot_mub_per_fu=0.000 pbc="T T T"
Sm 0.000 0.000 0.000
Lu 7.020 7.020 7.020
Th 3.511 3.511 3.511
Th 5.849 5.849 3.511
Th 5.849 3.511 5.849
Th 3.511 5.849 5.849

Record 2
4
Lattice="1.791 1.034 11.648 -1.791 1.034 11.648 0.000 -2.068 11.648" Properties=species:S:1:pos:R:3 comment="Sm2LuTh (PBE, optimized geometry)" dos_ef_per_ev_cell=6.3 relative_energy_ev_per_fu=0.00 ef_ev_per_atom=0.043 m_tot_mub_per_fu=0.000 pbc="T T T"
Sm 0.000 0.000 8.751
Sm 0.000 0.000 26.192
Lu 0.000 0.000 17.471
Th 0.000 0.000 0.000

Record 3
6
Lattice="0.000 4.632 4.632 4.632 0.000 4.632 4.632 4.632 0.000" Properties=species:S:1:pos:R:3 comment="SmLu4Th (PBE, optimized geometry)" dos_ef_per_ev_cell=9.3 ef_ev_per_atom=0.319 m_tot_mub_per_fu=6.295 pbc="T T T"
Sm 0.000 0.000 0.000
Lu 3.473 3.473 3.473
Lu 5.790 5.790 3.473
Lu 5.790 3.473 5.790
Lu 3.473 5.790 5.790
Th 6.947 6.947 6.947

Record 4
4
Lattice="0.000 4.024 4.024 4.024 0.000 4.024 4.024 4.024 0.000" Properties=species:S:1:pos:R:3 comment="Sm2LuTh (PBE, optimized geometry)" dos_ef_per_ev_cell=10.7 relative_energy_ev_per_fu=0.66 ef_ev_per_atom=0.208 m_tot_mub_per_fu=0.028 pbc="T T T"
Sm 2.012 2.012 2.012
Sm 6.036 6.036 6.036
Lu 0.000 0.000 0.000
Th 4.024 4.024 4.024

Record 5
4
Lattice="5.029 0.000 0.000 0.000 5.029 0.000 0.000 0.000 5.083" Properties=species:S:1:pos:R:3 comment="Sm2LuTh (PBE, optimized geometry)" dos_ef_per_ev_cell=4.7 relative_energy_ev_per_fu=0.00 ef_ev_per_atom=0.042 m_tot_mub_per_fu=0.000 pbc="T T T"
Sm 0.000 2.515 0.000
Sm 2.515 0.000 0.000
Lu 0.000 0.000 2.542
Th 2.515 2.515 2.542

Record 6
4
Lattice="0.000 4.009 4.009 4.009 0.000 4.009 4.009 4.009 0.000" Properties=species:S:1:pos:R:3 comment="SmYLuTh (PBE, optimized geometry)" dos_ef_per_ev_cell=7.8 ef_ev_per_atom=0.123 m_tot_mub_per_fu=0.001 pbc="T T T"
Sm 0.000 0.000 0.000
Y 6.014 6.014 6.014
Lu 2.005 2.005 2.005
Th 4.009 4.009 4.009

Record 7
4
Lattice="3.337 0.000 0.000 0.000 3.337 0.000 0.000 0.000 9.674" Properties=species:S:1:pos:R:3 comment="SmLu2Ti (PBE, optimized geometry)" dos_ef_per_ev_cell=6.0 ef_ev_per_atom=0.138 m_tot_mub_per_fu=0.000 pbc="T T T"
Sm 0.000 0.000 0.000
Lu 1.669 1.669 2.779
Lu 1.669 1.669 6.895
Ti 0.000 0.000 4.837

Record 8
4
Lattice="3.453 0.000 0.000 0.000 3.453 0.000 0.000 0.000 9.367" Properties=species:S:1:pos:R:3 comment="Sm2LuTi (PBE, optimized geometry)" dos_ef_per_ev_cell=6.5 ef_ev_per_atom=0.189 m_tot_mub_per_fu=0.000 pbc="T T T"
Sm 0.000 0.000 2.107
Sm 0.000 0.000 7.260
Lu 1.727 1.727 4.683
Ti 1.727 1.727 0.000

Record 9
4
Lattice="3.605 0.000 0.000 0.000 3.605 0.000 0.000 0.000 8.940" Properties=species:S:1:pos:R:3 comment="SmLu2Tl (PBE, optimized geometry)" dos_ef_per_ev_cell=3.1 relative_energy_ev_per_fu=0.00 ef_ev_per_atom=-0.165 m_tot_mub_per_fu=0.000 pbc="T T T"
Sm 0.000 0.000 0.000
Lu 1.802 1.802 2.450
Lu 1.802 1.802 6.491
Tl 0.000 0.000 4.470

Record 10
4
Lattice="0.000 3.836 3.836 3.836 0.000 3.836 3.836 3.836 0.000" Properties=species:S:1:pos:R:3 comment="SmLu2Tl (PBE, optimized geometry)" dos_ef_per_ev_cell=5.5 relative_energy_ev_per_fu=0.81 ef_ev_per_atom=0.038 m_tot_mub_per_fu=1.585 pbc="T T T"
Sm 0.000 0.000 0.000
Lu 1.918 1.918 1.918
Lu 5.754 5.754 5.754
Tl 3.836 3.836 3.836

Record 11
4
Lattice="3.593 0.000 0.000 0.000 3.593 0.000 0.000 0.000 9.511" Properties=species:S:1:pos:R:3 comment="Sm2LuTl (PBE, optimized geometry)" dos_ef_per_ev_cell=6.1 relative_energy_ev_per_fu=0.00 ef_ev_per_atom=-0.141 m_tot_mub_per_fu=0.001 pbc="T T T"
Sm 0.000 0.000 2.236
Sm 0.000 0.000 7.275
Lu 1.797 1.797 4.755
Tl 1.797 1.797 0.000

Record 12
4
Lattice="0.000 3.898 3.898 3.898 0.000 3.898 3.898 3.898 0.000" Properties=species:S:1:pos:R:3 comment="Sm2LuTl (PBE, optimized geometry)" dos_ef_per_ev_cell=6.3 relative_energy_ev_per_fu=0.31 ef_ev_per_atom=-0.065 m_tot_mub_per_fu=0.975 pbc="T T T"
Sm 1.949 1.949 1.949
Sm 5.847 5.847 5.847
Lu 0.000 0.000 0.000
Tl 3.898 3.898 3.898